No. 1
Density functional theory data (PBE-GGA) for a relaxed structure of Tb7Y12Zr.

Computed properties:
Uncorrected energy ... -5.680 eV per atom
Calculated formation energy ... 247 meV/atom

Cell: 11.364 11.364 11.364 Å, 116.86 116.86 116.86°
Positions (direct):
Tb  0.000  0.000  0.000
Tb  0.142  0.385  0.386
Tb  0.385  0.386  0.142
Tb  0.386  0.142  0.385
Tb  0.614  0.858  0.615
Tb  0.615  0.614  0.858
Tb  0.858  0.615  0.614
Y  0.000  0.415  0.587
Y  0.000  0.585  0.413
Y  0.074  0.428  0.075
Y  0.075  0.074  0.428
Y  0.413  0.000  0.585
Y  0.415  0.587  0.000
Y  0.428  0.075  0.074
Y  0.572  0.925  0.926
Y  0.585  0.413  0.000
Y  0.587  0.000  0.415
Y  0.925  0.926  0.572
Y  0.926  0.572  0.925
Zr  0.500  0.500  0.500

---

No. 2
Density functional theory data (PBE-GGA) for a relaxed structure of Tb6Y12Zr.

Computed properties:
Uncorrected energy ... -5.752 eV per atom
Calculated formation energy ... 243 meV/atom

Cell: 8.696 8.696 8.696 Å, 99.57 99.57 99.57°
Positions (direct):
Tb  0.170  0.595  0.595
Tb  0.405  0.405  0.830
Tb  0.405  0.830  0.405
Tb  0.595  0.170  0.595
Tb  0.595  0.595  0.170
Tb  0.830  0.405  0.405
Y  0.000  0.257  0.743
Y  0.000  0.743  0.257
Y  0.154  0.154  0.421
Y  0.154  0.421  0.154
Y  0.257  0.000  0.743
Y  0.257  0.743  0.000
Y  0.421  0.154  0.154
Y  0.579  0.846  0.846
Y  0.743  0.000  0.257
Y  0.743  0.257  0.000
Y  0.846  0.579  0.846
Y  0.846  0.846  0.579
Zr  0.500  0.500  0.500

---

No. 3
Density functional theory data (PBE-GGA) for a relaxed structure of Tb2YZr.

Computed properties:
Uncorrected energy ... -5.967 eV per atom
Calculated formation energy ... 101 meV/atom
E above lowest polymorph ... 16 meV/atom

Cell: 4.890 4.890 4.869 Å, 90.00 90.00 90.00°
Positions (direct):
Tb  0.000  0.500  0.000
Tb  0.500  0.000  0.000
Y  0.000  0.000  0.500
Zr  0.500  0.500  0.500